Compound: KCrSiBi
Source: the Alexandria database
Functional: PBE
Structure: relaxed

Properties
* excess energy over the best structure of this formula in the dataset: 0.183 eV/atom
* V: 31.313 Å³/atom
* E: -0.3425 Ry/atom
* ΔE_f (raw): 0.35 eV/atom
* ρ: 4.35 g cm⁻³
* SG: Cm

Lattice parameters (Å, degrees): 4.9086 4.9086 6.7068 104.39 104.39 53.81
Last column: nearest neighbours and their distance in Å.
Element x y z (fractional)
K 0.0000 0.0000 0.0000  3 Si 3.40-3.64, 1 Cr 3.47, 3 Bi 3.67-3.74
Cr 0.2621 0.2621 0.4949  2 Si 2.45
Si 0.7823 0.7823 0.3485  2 Cr 2.45, 1 Bi 2.74
Bi 0.5969 0.5969 0.6164  1 Si 2.74, 3 Cr 2.82-2.89

Compound: KCrSiBi
Source: the Alexandria database
Functional: PBE
Structure: relaxed

Properties
* excess energy over the best structure of this formula in the dataset: 0.031 eV/atom
* V: 24.549 Å³/atom
* E: -0.3536 Ry/atom
* ΔE_f (raw): 0.20 eV/atom
* ρ: 5.55 g cm⁻³
* SG: Amm2

Lattice parameters (Å, degrees): 3.2851 8.7131 8.7131 23.19 90.00 90.00
Last column: nearest neighbours and their distance in Å.
Element x y z (fractional)
K 0.0000 0.0000 0.0000  4 K 3.29-3.50, 1 Cr 3.29, 4 Si 3.67
Cr 0.0000 0.1930 0.1930  4 Si 2.46
Si 0.5000 0.6629 0.6629  4 Cr 2.46
Bi 0.5000 0.3337 0.3337  2 Cr 2.91

Compound: KCrSiBi
Source: the Alexandria database
Functional: PBE
Structure: relaxed

Properties
* excess energy over the best structure of this formula in the dataset: 0.028 eV/atom
* V: 24.919 Å³/atom
* E: -0.3538 Ry/atom
* ΔE_f (raw): 0.19 eV/atom
* ρ: 5.47 g cm⁻³
* SG: P4mm

Lattice parameters (Å, degrees): 3.4836 3.4836 8.2136 90.00 90.00 90.00
Last column: nearest neighbours and their distance in Å.
Element x y z (fractional)
K 0.0000 0.0000 0.0000  1 Cr 3.37, 4 Si 3.48, 4 K 3.48
Cr 0.0000 0.0000 0.4101  4 Si 2.62
Si 0.5000 0.5000 0.2998  4 Cr 2.62, 1 Bi 2.80
Bi 0.5000 0.5000 0.6405  1 Si 2.80, 4 Cr 3.11

> Which value of ΔE_f (raw) does entry 2 give?

0.20 eV/atom

> Which formula does entry 1 have?

KCrSiBi

> Look up the excess energy over the best structure of this formula in the dataset of the second one.

0.031 eV/atom

> What is the formula in the second record?

KCrSiBi